1.
Material: BaCdRhF2
Method: DFT, GGA-PBE
State: optimized geometry

Summary:
For the total energy, the calculation gives -3.935 eV/atom.

Structure (CIF):
```
data_BaCdRhF2
_chemical_formula_sum 'Ba1 Cd1 Rh1 F2'
_space_group_name_H-M_alt 'P 4/m m m'
_space_group_IT_number 123
_space_group_name_Hall '-P 4 2'
_cell_length_a 4.808
_cell_length_b 4.808
_cell_length_c 6.236
_cell_angle_alpha 90.00
_cell_angle_beta 90.00
_cell_angle_gamma 90.00
loop_
_atom_site_label
_atom_site_type_symbol
_atom_site_fract_x
_atom_site_fract_y
_atom_site_fract_z
Ba1 Ba 0.000 0.000 0.000
Cd1 Cd 0.500 0.500 0.500
Rh1 Rh 0.000 0.000 0.500
F1 F 0.000 0.500 0.000
```

2.
Material: BaCdSF2
Method: DFT, GGA-PBE
State: optimized geometry

Summary:
For the total energy, the calculation gives -4.469 eV/atom.

Structure (CIF):
```
data_BaCdSF2
_chemical_formula_sum 'Ba4 Cd4 S4 F8'
_space_group_name_H-M_alt 'I 4/m c m'
_space_group_IT_number 140
_space_group_name_Hall '-I 4 2c'
_cell_length_a 6.528
_cell_length_b 6.528
_cell_length_c 9.798
_cell_angle_alpha 90.00
_cell_angle_beta 90.00
_cell_angle_gamma 90.00
loop_
_atom_site_label
_atom_site_type_symbol
_atom_site_fract_x
_atom_site_fract_y
_atom_site_fract_z
Ba1 Ba 0.000 0.500 0.250
Cd1 Cd 0.000 0.000 0.000
S1 S 0.000 0.000 0.250
F1 F 0.158 0.342 0.000
```

3.
Material: BaScCdF2
Method: DFT, GGA-PBE
State: optimized geometry

Summary:
For the total energy, the calculation gives -3.096 eV/atom.

Structure (CIF):
```
data_BaScCdF2
_chemical_formula_sum 'Ba1 Sc1 Cd1 F2'
_space_group_name_H-M_alt 'P 4/m m m'
_space_group_IT_number 123
_space_group_name_Hall '-P 4 2'
_cell_length_a 4.706
_cell_length_b 4.706
_cell_length_c 6.797
_cell_angle_alpha 90.00
_cell_angle_beta 90.00
_cell_angle_gamma 90.00
loop_
_atom_site_label
_atom_site_type_symbol
_atom_site_fract_x
_atom_site_fract_y
_atom_site_fract_z
Ba1 Ba 0.000 0.000 0.000
Sc1 Sc 0.500 0.500 0.000
Cd1 Cd 0.000 0.000 0.500
F1 F 0.000 0.500 0.500
```